(1)
The following is a DFT calculation (PBE) of crystalline TlZn2Ru at its relaxed geometry.

Geometry as POSCAR:
```
TlZn2Ru
1.0
-1.953 1.953 4.350
1.953 -1.953 4.350
1.953 1.953 -4.350
Tl Zn Ru
1 2 1
Cartesian
0.000 0.000 0.000
1.953 0.000 2.175
0.000 1.953 2.175
0.000 0.000 4.350
```

Values from the calculation:
The space group is No. 139. The energy of formation is 225.7 meV per atom.

(2)
The following is a DFT calculation (PBE) of crystalline HfFe2GeH at its relaxed geometry.

Geometry as POSCAR:
```
HfFe2GeH
1.0
3.838 0.000 0.000
0.000 3.838 0.000
0.000 0.000 4.176
Hf Fe Ge H
1 2 1 1
Cartesian
0.000 0.000 0.000
0.000 1.919 2.088
1.919 0.000 2.088
1.919 1.919 0.000
0.000 0.000 2.088
```

Values from the calculation:
The electronic total energy is -7.157 eV per atom. The space group is No. 123.

(3)
The following is a DFT calculation (PBE) of crystalline Cs2Cd4Ag at its relaxed geometry.

Geometry as POSCAR:
```
Cs2Cd4Ag
1.0
-2.767 2.767 9.749
2.767 -2.767 9.749
2.767 2.767 -9.749
Cs Cd Ag
2 4 1
Cartesian
0.000 0.000 2.957
0.000 0.000 16.540
2.767 0.000 0.000
0.000 0.000 6.974
0.000 2.767 0.000
0.000 0.000 12.524
0.000 0.000 9.749
```

Values from the calculation:
The space group is No. 139. The energy of formation is 40.0 meV per atom.

(4)
The following is a DFT calculation (PBE) of crystalline SiHgBr2 at its relaxed geometry.

Geometry as POSCAR:
```
SiHgBr2
1.0
3.487 0.000 0.000
0.000 3.487 0.000
0.000 0.000 9.874
Si Hg Br
1 1 2
Cartesian
0.000 0.000 0.000
0.000 0.000 4.937
1.743 1.743 1.655
1.743 1.743 8.219
```

Values from the calculation:
Its formation energy without anion corrections is 2.90 kJ/mol of atoms. The space group is No. 123.

(5)
The following is a DFT calculation (PBE) of crystalline Tm3In4Co2 at its relaxed geometry.

Geometry as POSCAR:
```
Tm3In4Co2
1.0
7.870 0.000 0.000
-3.935 6.816 0.000
0.000 0.000 3.548
Tm In Co
3 4 2
Cartesian
-2.106 4.838 0.000
0.799 2.573 0.000
1.307 6.221 0.000
0.000 0.000 1.774
2.905 0.544 1.774
2.954 4.028 1.774
5.947 2.244 1.774
0.000 4.544 1.774
3.935 2.272 0.000
```

Values from the calculation:
The space group is No. 174. The energy of formation is -377.3 meV per atom.

(6)
The following is a DFT calculation (PBE) of crystalline AlB2Mo2 at its relaxed geometry.

Geometry as POSCAR:
```
AlB2Mo2
1.0
5.886 0.000 0.000
0.000 5.886 0.000
0.000 0.000 3.170
Al B Mo
2 4 4
Cartesian
0.000 0.000 0.000
2.943 2.943 0.000
0.657 2.286 0.000
2.286 5.229 0.000
3.600 0.657 0.000
5.229 3.600 0.000
1.029 3.972 1.585
1.914 1.029 1.585
3.972 4.857 1.585
4.857 1.914 1.585
```

Values from the calculation:
The space group is No. 127. The energy of formation is -475.0 meV per atom.

(7)
The following is a DFT calculation (PBE) of crystalline LiHfGaPd at its relaxed geometry.

Geometry as POSCAR:
```
LiHfGaPd
1.0
0.000 3.151 3.151
3.151 0.000 3.151
3.151 3.151 0.000
Li Hf Ga Pd
1 1 1 1
Cartesian
0.000 0.000 0.000
1.575 1.575 1.575
4.726 4.726 4.726
3.151 3.151 3.151
```

Values from the calculation:
The space group is No. 216. The energy of formation is -590.8 meV per atom.

(8)
The following is a DFT calculation (PBE) of crystalline K2In2I5 at its relaxed geometry.

Geometry as POSCAR:
```
K2In2I5
1.0
-12.038 4.313 4.309
12.038 -4.313 4.309
12.038 4.313 -4.309
K In I
4 4 10
Cartesian
2.616 0.170 0.000
9.422 0.170 0.000
2.616 4.144 4.309
9.422 4.144 4.309
6.019 -0.322 3.887
6.019 4.635 -0.422
0.000 4.313 0.502
0.000 0.000 4.811
12.545 2.226 -1.705
11.531 -2.088 2.604
18.057 0.903 0.579
3.061 3.615 0.675
8.977 3.615 0.675
-0.507 2.088 2.604
12.545 2.088 2.604
3.061 0.698 4.984
8.977 0.698 4.984
-6.019 3.410 4.888
```

Values from the calculation:
Its formation energy without anion corrections is -84.41 kJ/mol of atoms. The space group is No. 46.

(9)
The following is a DFT calculation (PBE) of crystalline MgUSn2 at its relaxed geometry.

Geometry as POSCAR:
```
MgUSn2
1.0
4.756 0.000 0.000
0.000 4.756 0.000
0.000 0.000 4.300
Mg U Sn
1 1 2
Cartesian
0.000 0.000 0.000
2.378 2.378 0.000
0.000 2.378 2.150
2.378 0.000 2.150
```

Values from the calculation:
The space group is No. 123. The energy of formation is -125.0 meV per atom.

(10)
The following is a DFT calculation (PBE) of crystalline Mg3AlPd6 at its relaxed geometry.

Geometry as POSCAR:
```
Mg3AlPd6
1.0
5.846 3.375 2.779
-5.846 3.375 2.779
0.000 -6.751 2.779
Mg Al Pd
6 2 12
Cartesian
-2.327 -0.501 2.062
1.598 -1.765 2.062
0.729 2.266 2.062
-0.729 -2.266 6.274
-1.598 1.765 6.274
2.327 0.501 6.274
0.000 0.000 0.000
0.000 0.000 4.168
-1.701 -4.991 3.461
-5.173 -1.023 4.875
-0.755 -2.362 3.490
-3.472 3.968 3.461
-2.423 -0.527 4.847
-1.668 1.834 3.490
1.668 -1.834 4.847
2.423 0.527 3.490
3.472 -3.968 4.875
0.755 2.362 4.847
5.173 1.023 3.461
1.701 4.991 4.875
```

Values from the calculation:
The space group is No. 148. The energy of formation is -620.2 meV per atom.

(11)
The following is a DFT calculation (PBE) of crystalline Dy3TeO3 at its relaxed geometry.

Geometry as POSCAR:
```
Dy3TeO3
1.0
8.449 0.000 0.000
0.000 3.899 0.000
-2.886 0.000 8.469
Dy Te O
6 2 6
Cartesian
-0.344 0.975 2.496
-0.129 0.975 8.144
2.654 2.924 2.588
2.910 0.975 5.881
5.693 2.924 0.325
5.907 2.924 5.973
0.574 2.924 4.919
4.989 0.975 3.550
-1.950 0.975 6.903
1.743 0.975 1.754
3.357 2.924 0.464
2.207 0.975 8.005
3.820 2.924 6.715
7.513 2.924 1.566
```

Values from the calculation:
Its formation energy without anion corrections is -273.66 kJ/mol of atoms. The space group is No. 11.

(12)
The following is a DFT calculation (PBE) of crystalline Re2SiP at its relaxed geometry.

Geometry as POSCAR:
```
Re2SiP
1.0
3.112 0.000 0.000
0.000 3.112 0.000
0.000 0.000 5.612
Re Si P
2 1 1
Cartesian
0.000 0.000 0.000
1.556 1.556 2.023
0.000 0.000 3.089
1.556 1.556 4.523
```

Values from the calculation:
Its formation energy without anion corrections is -19.77 kJ/mol of atoms. The space group is No. 99.

(13)
The following is a DFT calculation (PBE) of crystalline Y3FeW at its relaxed geometry.

Geometry as POSCAR:
```
Y3FeW
1.0
5.376 0.000 0.000
0.000 5.376 0.000
0.000 0.000 5.376
Y Fe W
3 1 1
Cartesian
0.000 0.000 2.688
0.000 2.688 0.000
2.688 0.000 0.000
2.688 2.688 2.688
0.000 0.000 0.000
```

Values from the calculation:
The space group is No. 221. The energy of formation is 1054.5 meV per atom.

(14)
The following is a DFT calculation (PBE) of crystalline Np2In3Bi3 at its relaxed geometry.

Geometry as POSCAR:
```
Np2In3Bi3
1.0
4.772 0.000 0.000
0.000 4.976 0.000
0.000 0.000 9.188
Np In Bi
2 3 3
Cartesian
0.000 0.000 2.267
0.000 0.000 6.921
0.000 2.488 4.594
2.386 2.488 2.379
2.386 2.488 6.809
0.000 2.488 0.000
2.386 0.000 0.000
2.386 0.000 4.594
```

Values from the calculation:
The space group is No. 47. The energy of formation is -14.8 meV per atom.

(15)
The following is a DFT calculation (PBE) of crystalline Tl2CrMo at its relaxed geometry.

Geometry as POSCAR:
```
Tl2CrMo
1.0
3.086 -4.153 0.000
3.086 4.153 0.000
0.000 0.000 3.050
Tl Cr Mo
2 1 1
Cartesian
1.543 2.077 0.000
1.543 -2.077 0.000
0.000 0.000 1.525
3.086 0.000 1.525
```

Values from the calculation:
The space group is No. 65. The energy of formation is 818.6 meV per atom.

(16)
The following is a DFT calculation (PBE) of crystalline Pr6Tl2In3 at its relaxed geometry.

Geometry as POSCAR:
```
Pr6Tl2In3
1.0
-3.056 3.056 10.795
3.056 -3.056 10.795
3.056 3.056 -10.795
Pr Tl In
6 2 3
Cartesian
3.056 0.000 1.865
0.000 0.000 4.495
3.056 0.000 8.930
0.000 3.056 1.865
0.000 0.000 17.095
0.000 3.056 8.930
0.000 0.000 1.435
0.000 0.000 20.155
0.000 0.000 7.611
0.000 0.000 10.795
0.000 0.000 13.979
```

Values from the calculation:
The space group is No. 139. The energy of formation is -0.4 meV per atom.

(17)
The following is a DFT calculation (PBE) of crystalline TiSiPb at its relaxed geometry.

Geometry as POSCAR:
```
TiSiPb
1.0
10.065 -1.849 0.000
10.065 1.849 0.000
-0.556 0.000 3.459
Ti Si Pb
2 2 2
Cartesian
1.028 0.000 1.058
18.546 0.000 2.401
9.045 0.000 0.720
10.529 0.000 2.739
3.241 0.000 3.057
16.332 0.000 0.402
```

Values from the calculation:
Its formation energy without anion corrections is -24.00 kJ/mol of atoms. The space group is No. 12.

(18)
The following is a DFT calculation (PBE) of crystalline AcThCuSn at its relaxed geometry.

Geometry as POSCAR:
```
AcThCuSn
1.0
0.000 3.856 3.856
3.856 0.000 3.856
3.856 3.856 0.000
Ac Th Cu Sn
1 1 1 1
Cartesian
0.000 0.000 0.000
3.856 3.856 3.856
5.784 5.784 5.784
1.928 1.928 1.928
```

Values from the calculation:
The space group is No. 216. The energy of formation is -205.0 meV per atom.

(19)
The following is a DFT calculation (PBE) of crystalline Nd6YEr8 at its relaxed geometry.

Geometry as POSCAR:
```
Nd6YEr8
1.0
4.538 2.620 6.967
-4.538 2.620 6.967
0.000 -5.240 6.967
Nd Y Er
6 1 8
Cartesian
-3.133 -1.152 9.523
-0.569 -3.289 11.377
-2.564 2.137 11.377
2.564 -2.137 9.523
0.569 3.289 9.523
3.133 1.152 11.377
0.000 0.000 10.450
0.000 0.000 1.603
-0.151 -1.986 7.510
-1.644 1.124 7.510
-1.795 -0.862 13.391
1.795 0.862 7.510
1.644 -1.124 13.391
0.151 1.986 13.391
0.000 0.000 19.298
```

Values from the calculation:
The space group is No. 148. The energy of formation is 123.5 meV per atom.

(20)
The following is a DFT calculation (PBE) of crystalline KGaOs3 at its relaxed geometry.

Geometry as POSCAR:
```
KGaOs3
1.0
4.601 0.000 0.000
0.000 4.601 0.000
0.000 0.000 4.601
K Ga Os
1 1 3
Cartesian
0.000 0.000 0.000
2.301 2.301 2.301
0.000 0.000 2.301
0.000 2.301 0.000
2.301 0.000 0.000
```

Values from the calculation:
The space group is No. 221. The energy of formation is 3774.9 meV per atom.

(21)
The following is a DFT calculation (PBE) of crystalline IrBr at its relaxed geometry.

Geometry as POSCAR:
```
IrBr
1.0
0.000 2.663 2.663
2.663 0.000 2.663
2.663 2.663 0.000
Ir Br
1 1
Cartesian
0.000 0.000 0.000
2.663 2.663 2.663
```

Values from the calculation:
Its formation energy without anion corrections is 129.22 kJ/mol of atoms. The space group is No. 225.

(22)
The following is a DFT calculation (PBE) of crystalline AcZn4Ru at its relaxed geometry.

Geometry as POSCAR:
```
AcZn4Ru
1.0
8.032 0.000 0.000
0.000 4.107 0.000
0.000 0.000 7.266
Ac Zn Ru
2 8 2
Cartesian
2.008 0.000 0.727
6.024 0.000 6.539
0.000 0.000 3.633
0.462 2.054 5.604
2.008 2.054 3.359
3.554 2.054 5.604
4.016 0.000 3.633
4.478 2.054 1.662
6.024 2.054 3.907
7.570 2.054 1.662
2.008 0.000 5.133
6.024 0.000 2.133
```

Values from the calculation:
The space group is No. 51. The energy of formation is -200.6 meV per atom.

(23)
The following is a DFT calculation (PBE) of crystalline KDyMgTe3 at its relaxed geometry.

Geometry as POSCAR:
```
KDyMgTe3
1.0
9.642 0.000 0.000
0.000 4.509 0.000
-3.269 0.000 10.204
K Dy Mg Te
2 2 2 6
Cartesian
1.247 1.127 2.371
5.125 3.382 7.832
0.356 3.382 8.824
6.016 1.127 1.379
-1.180 1.127 6.213
7.552 3.382 3.991
-1.808 1.127 8.885
0.354 3.382 5.506
3.921 3.382 1.652
2.452 1.127 8.552
6.018 1.127 4.697
8.180 3.382 1.318
```

Values from the calculation:
Its formation energy without anion corrections is -115.80 kJ/mol of atoms. The space group is No. 11.

(24)
The following is a DFT calculation (PBE) of crystalline TbNdSmEr at its relaxed geometry.

Geometry as POSCAR:
```
TbNdSmEr
1.0
0.000 4.046 4.046
4.046 0.000 4.046
4.046 4.046 0.000
Tb Nd Sm Er
1 1 1 1
Cartesian
0.000 0.000 0.000
2.023 2.023 2.023
6.069 6.069 6.069
4.046 4.046 4.046
```

Values from the calculation:
The space group is No. 216. The energy of formation is 122.5 meV per atom.